Record 1
VASP calculation (PBE) on an optimized crystal structure of ZrHIr2Pt.

The space group is P4/mmm, No. 123. The spin magnetization is 0.000 μB/atom. For the distance to the lowest polymorph of the same formula, the calculation gives 0.0 kJ per mole of atoms. Its electronic total energy is -7.685 eV/atom. The value obtained for the density of states at the Fermi level is 0.62 states/eV per atom.

a = 4.0754 Å, b = 4.0754 Å, c = 4.0191 Å
α = 90.00°, β = 90.00°, γ = 90.00°
Last column: nearest neighbours and their distance in Å.
Element x y z (fractional)
Ir 0.0000 0.5000 0.0000  2 H 2.04
Ir 0.5000 0.0000 0.0000  2 H 2.04
H 0.0000 0.0000 0.0000  2 Pt 2.01, 4 Ir 2.04
Zr 0.5000 0.5000 0.5000  8 Ir 2.86, 4 Pt 2.88
Pt 0.0000 0.0000 0.5000  2 H 2.01

***

Record 2
VASP calculation (PBE) on an optimized crystal structure of ZrHIr2Pt.

The space group is P4/mmm, No. 123. The spin magnetization is 0.000 μB/atom. For the distance to the lowest polymorph of the same formula, the calculation gives 0.4 kJ per mole of atoms. Its electronic total energy is -7.681 eV/atom. The value obtained for the density of states at the Fermi level is 0.58 states/eV per atom.

a = 4.0063 Å, b = 4.0063 Å, c = 4.1529 Å
α = 90.00°, β = 90.00°, γ = 90.00°
Last column: nearest neighbours and their distance in Å.
Element x y z (fractional)
Ir 0.5000 0.0000 0.0000  2 H 2.00
Ir 0.0000 0.5000 0.0000  2 H 2.00
Pt 0.5000 0.5000 0.5000  4 Zr 2.83, 8 Ir 2.89
H 0.0000 0.0000 0.0000  4 Ir 2.00, 2 Zr 2.08
Zr 0.0000 0.0000 0.5000  2 H 2.08

***

Record 3
VASP calculation (PBE) on an optimized crystal structure of Zr2HIrPt.

The space group is P4/mmm, No. 123. The spin magnetization is 0.000 μB/atom. For the distance to the lowest polymorph of the same formula, the calculation gives 0.0 kJ per mole of atoms. Its electronic total energy is -7.742 eV/atom. The value obtained for the density of states at the Fermi level is 0.79 states/eV per atom.

a = 4.3693 Å, b = 4.3693 Å, c = 3.9126 Å
α = 90.00°, β = 90.00°, γ = 90.00°
Last column: nearest neighbours and their distance in Å.
Element x y z (fractional)
H 0.0000 0.0000 0.0000  2 Ir 1.96, 4 Zr 2.18
Zr 0.0000 0.5000 0.0000  2 H 2.18
Zr 0.5000 0.0000 0.0000  2 H 2.18
Pt 0.5000 0.5000 0.5000  8 Zr 2.93, 4 Ir 3.09
Ir 0.0000 0.0000 0.5000  2 H 1.96

***

Record 4
VASP calculation (PBE) on an optimized crystal structure of ZrH8Ir2Pt.

The space group is C2/m, No. 12. The spin magnetization is 0.000 μB/atom. Its electronic total energy is -4.933 eV/atom. The value obtained for the density of states at the Fermi level is 0.22 states/eV per atom.

a = 3.9211 Å, b = 4.9335 Å, c = 6.2969 Å
α = 61.75°, β = 71.86°, γ = 66.58°
Last column: nearest neighbours and their distance in Å.
Element x y z (fractional)
H 0.6960 0.4581 0.1499  3 Ir 1.86-2.04
H 0.8728 0.7312 0.5232  1 Ir 1.64, 2 H 1.83
H 0.8724 0.0097 0.7408  1 Ir 1.71, 1 Pt 1.83, 1 H 1.83
H 0.3771 0.0097 0.7408  1 Ir 1.71, 1 Pt 1.83, 1 H 1.83
H 0.1276 0.9903 0.2592  1 Ir 1.71, 1 Pt 1.83, 1 H 1.83
H 0.1272 0.2688 0.4768  1 Ir 1.64, 2 H 1.83
H 0.6229 0.9903 0.2592  1 Ir 1.71, 1 Pt 1.83, 1 H 1.83
H 0.3040 0.5419 0.8501  3 Ir 1.86-2.04
Ir 0.2429 0.3260 0.1881  3 H 1.64-1.71
Ir 0.7571 0.6740 0.8119  3 H 1.64-1.71
Pt 0.0000 0.0000 0.0000  4 H 1.83
Zr 0.5000 0.5000 0.5000  10 H 2.18-2.32